First-principles (PBE-GGA) data for a geometry-optimized KNaMgTl2 structure, as listed in Alexandria.

abc: 5.637 5.637 5.938
angles: 90.00 90.00 90.00
Space group P4/mmm (No. 123)
Unique sites:
K  0.000  0.000  0.000 [1 per cell]
Na  0.500  0.500  0.000 [1 per cell]
Mg  0.500  0.500  0.500 [1 per cell]
Tl  0.000  0.500  0.500 [2 per cell]

Summary:
For the energy of formation, the calculation gives 0.4 eV/f.u. The crystal system is tetragonal. The calculation puts the density at 4.4 Mg/m³.